(1)
TaSnHgO6 after structural relaxation. Source: Alexandria via LeMat-Bulk, functional PBE-GGA.

Values from the calculation:
raw total energy	-6.616	eV per atom
density	8.05	g cm⁻³
total magnetic moment	1.6	μB/cell
raw formation energy	-1.5152	eV per atom

Cell and atoms, written as CIF:
```
data_TaSnHgO6
_space_group_name_H-M_alt 'P 1'
_space_group_IT_number 1
_cell_length_a 5.476
_cell_length_b 5.476
_cell_length_c 9.479
_cell_angle_alpha 90.00
_cell_angle_beta 90.00
_cell_angle_gamma 120.00
loop_
_space_group_symop_operation_xyz
'x,y,z'
loop_
_atom_site_label
_atom_site_fract_x
_atom_site_fract_y
_atom_site_fract_z
_atom_site_occupancy
Ta1 0.333 0.667 0.250 1
Ta2 0.667 0.333 0.750 1
Sn1 0.333 0.667 0.750 1
Sn2 0.667 0.333 0.250 1
Hg1 0.000 0.000 0.000 1
Hg2 0.000 0.000 0.500 1
O1 0.011 0.371 0.137 1
O2 0.011 0.640 0.363 1
O3 0.360 0.371 0.363 1
O4 0.360 0.989 0.137 1
O5 0.371 0.011 0.637 1
O6 0.371 0.360 0.863 1
O7 0.629 0.640 0.137 1
O8 0.629 0.989 0.363 1
O9 0.640 0.011 0.863 1
O10 0.640 0.629 0.637 1
O11 0.989 0.360 0.637 1
O12 0.989 0.629 0.863 1
```

=====

(2)
TcSnHg2O after structural relaxation. Source: Alexandria via LeMat-Bulk, functional PBE-GGA.

Values from the calculation:
raw total energy	-2.603	eV per atom
density	6.36	g cm⁻³
total magnetic moment	3.9	μB/cell
raw formation energy	1.3828	eV per atom

Cell and atoms, written as CIF:
```
data_TcSnHg2O
_space_group_name_H-M_alt 'P 1'
_space_group_IT_number 1
_cell_length_a 5.520
_cell_length_b 5.520
_cell_length_c 5.429
_cell_angle_alpha 90.00
_cell_angle_beta 90.00
_cell_angle_gamma 90.00
loop_
_space_group_symop_operation_xyz
'x,y,z'
loop_
_atom_site_label
_atom_site_fract_x
_atom_site_fract_y
_atom_site_fract_z
_atom_site_occupancy
Tc1 0.000 0.000 0.000 1
Sn1 0.000 0.000 0.500 1
Hg1 0.000 0.500 0.500 1
Hg2 0.500 0.000 0.500 1
O1 0.500 0.500 0.000 1
```

=====

(3)
Tc2SnHgO8 after structural relaxation. Source: Alexandria via LeMat-Bulk, functional PBE-GGA.

Values from the calculation:
raw total energy	-6.575	eV per atom
density	4.09	g cm⁻³
total magnetic moment	0.0	μB/cell
raw formation energy	-1.1827	eV per atom

Cell and atoms, written as CIF:
```
data_Tc2SnHgO8
_space_group_name_H-M_alt 'P 1'
_space_group_IT_number 1
_cell_length_a 7.263
_cell_length_b 7.263
_cell_length_c 5.784
_cell_angle_alpha 104.30
_cell_angle_beta 104.30
_cell_angle_gamma 63.57
loop_
_space_group_symop_operation_xyz
'x,y,z'
loop_
_atom_site_label
_atom_site_fract_x
_atom_site_fract_y
_atom_site_fract_z
_atom_site_occupancy
Tc1 0.182 0.182 0.202 1
Tc2 0.818 0.818 0.798 1
Sn1 0.000 0.000 0.500 1
Hg1 0.500 0.500 0.000 1
O1 0.056 0.704 0.686 1
O2 0.141 0.141 0.882 1
O3 0.296 0.944 0.314 1
O4 0.327 0.327 0.315 1
O5 0.673 0.673 0.685 1
O6 0.704 0.056 0.686 1
O7 0.859 0.859 0.118 1
O8 0.944 0.296 0.314 1
```

=====

Which formula does entry 1 have? TaSnHgO6